A crystal of AlZn2Tc relaxed with PBEsol. Source: Alexandria via LeMat-Bulk, functional meta-GGA SCAN.

abc: 3.6817 3.6817 4.0135
angles: 90.00 90.00 90.00
With the nearest neighbours (Å) after each atom.
Space group P4/mmm (No. 123)
Unique sites:
Al: 0.0000 0.0000 0.0000 (multiplicity 1)  4 Tc 2.60, 8 Zn 2.72
Zn: 0.0000 0.5000 0.5000 (multiplicity 2)  4 Zn 2.60, 4 Tc 2.72, 4 Al 2.72
Tc: 0.5000 0.5000 0.0000 (multiplicity 1)  4 Al 2.60, 8 Zn 2.72

## Properties
DOS(E_F), states/eV/f.u.: 1.81
Formation enthalpy at 0 K, meV per atom: -206